(1)
The following is a PBE calculation of an optimized crystal structure of BaPrPd, from Alexandria via LeMat-Bulk.

Summary:
- D(E_F) (states/eV per atom) = 1.1348
- E above lowest polymorph (meV/atom) = 67
- V (Å³/atom) = 39.9
- symmetry = P3m1 (156)

Cell: 4.402 4.402 7.134 Å, 90.00 90.00 120.00°
Atoms (fractional coordinates):
1 Ba 0.000 0.000 0.000
2 Pr 0.333 0.667 0.527
3 Pd 0.667 0.333 0.724



(2)
The following is a PBE calculation of an optimized crystal structure of BaPrPd, from Alexandria via LeMat-Bulk.

Summary:
- D(E_F) (states/eV per atom) = 1.0501
- E above lowest polymorph (meV/atom) = 0
- V (Å³/atom) = 36.4
- symmetry = P2_1/c (14)

Cell: 7.506 7.795 7.533 Å, 90.00 97.83 90.00°
Atoms (fractional coordinates):
1 Ba 0.154 0.152 0.319
2 Ba 0.154 0.348 0.819
3 Ba 0.846 0.652 0.181
4 Ba 0.846 0.848 0.681
5 Pr 0.363 0.695 0.487
6 Pr 0.363 0.805 0.987
7 Pr 0.637 0.195 0.013
8 Pr 0.637 0.305 0.513
9 Pd 0.434 0.035 0.688
10 Pd 0.434 0.465 0.188
11 Pd 0.566 0.535 0.812
12 Pd 0.566 0.965 0.312



(3)
The following is a PBE calculation of an optimized crystal structure of BaPr4Pd4, from Alexandria via LeMat-Bulk.

Summary:
- D(E_F) (states/eV per atom) = 0.6787
- V (Å³/atom) = 31.3
- symmetry = P4_2/n (86)
- electronic total energy (eV/cell) = -93.9

Cell: 9.776 9.776 5.891 Å, 90.00 90.00 90.00°
Atoms (fractional coordinates):
1 Ba 0.250 0.250 0.250
2 Ba 0.750 0.750 0.750
3 Pr 0.089 0.644 0.170
4 Pr 0.144 0.911 0.670
5 Pr 0.356 0.589 0.670
6 Pr 0.411 0.856 0.170
7 Pr 0.589 0.144 0.830
8 Pr 0.644 0.411 0.330
9 Pr 0.856 0.089 0.330
10 Pr 0.911 0.356 0.830
11 Pd 0.057 0.610 0.668
12 Pd 0.110 0.943 0.168
13 Pd 0.390 0.557 0.168
14 Pd 0.443 0.890 0.668
15 Pd 0.557 0.110 0.332
16 Pd 0.610 0.443 0.832
17 Pd 0.890 0.057 0.832
18 Pd 0.943 0.390 0.332